## TaAl2In (PBE-GGA)

Data for a relaxed structure of TaAl2In.

The calculation puts the formation energy from the elements at 0.043 eV per atom. For the volume, the calculation gives 73 Å³ per cell. The space-group type is No. 25.

Cell: 2.849 4.774 5.396 Å, 90.00 90.00 90.00°
Atoms (fractional coordinates):
Ta 0.000 0.000 0.000
Al 0.500 0.000 0.534
Al 0.500 0.500 0.781
In 0.500 0.500 0.269

## TaAlIn3 (PBE-GGA)

Data for a relaxed structure of TaAlIn3.

The calculation puts the formation energy from the elements at 0.827 eV per atom. For the volume, the calculation gives 161 Å³ per cell. The space-group type is No. 221.

Cell: 5.438 5.438 5.438 Å, 90.00 90.00 90.00°
Atoms (fractional coordinates):
Ta 0.000 0.000 0.000
Al 0.500 0.500 0.500
In 0.000 0.000 0.500
In 0.000 0.500 0.000
In 0.500 0.000 0.000

## TaAl2In (PBE-GGA)

Data for a relaxed structure of TaAl2In.

The calculation puts the formation energy from the elements at 0.026 eV per atom. For the volume, the calculation gives 76 Å³ per cell. The space-group type is No. 123.

Cell: 2.902 2.902 9.077 Å, 90.00 90.00 90.00°
Atoms (fractional coordinates):
Ta 0.000 0.000 0.000
Al 0.500 0.500 0.221
Al 0.500 0.500 0.779
In 0.000 0.000 0.500

## Ta2AlIn (PBE-GGA)

Data for a relaxed structure of Ta2AlIn.

The calculation puts the formation energy from the elements at 0.124 eV per atom. For the volume, the calculation gives 75 Å³ per cell. The space-group type is No. 166.

Cell: 9.858 9.858 9.858 Å, 17.42 17.42 17.42°
Atoms (fractional coordinates):
Ta 0.247 0.247 0.247
Ta 0.753 0.753 0.753
Al 0.500 0.500 0.500
In 0.000 0.000 0.000

## TaAl2In (PBE-GGA)

Data for a relaxed structure of TaAl2In.

The calculation puts the formation energy from the elements at 0.111 eV per atom. For the volume, the calculation gives 74 Å³ per cell. The space-group type is No. 123.

Cell: 5.015 5.015 2.937 Å, 90.00 90.00 90.00°
Atoms (fractional coordinates):
Ta 0.000 0.000 0.000
Al 0.000 0.500 0.500
Al 0.500 0.000 0.500
In 0.500 0.500 0.000

## Ta2AlIn (PBE-GGA)

Data for a relaxed structure of Ta2AlIn.

The calculation puts the formation energy from the elements at 0.037 eV per atom. For the volume, the calculation gives 76 Å³ per cell. The space-group type is No. 99.

Cell: 3.544 3.544 6.033 Å, 90.00 90.00 90.00°
Atoms (fractional coordinates):
Ta 0.000 0.000 0.000
Ta 0.500 0.500 0.206
Al 0.000 0.000 0.460
In 0.500 0.500 0.709

## Ta2AlIn (PBE-GGA)

Data for a relaxed structure of Ta2AlIn.

The calculation puts the formation energy from the elements at 0.029 eV per atom. For the volume, the calculation gives 74 Å³ per cell. The space-group type is No. 6.

Cell: 2.929 4.694 5.390 Å, 90.00 96.95 90.00°
Atoms (fractional coordinates):
Ta 0.000 0.000 0.000
Ta 0.178 0.500 0.724
Al 0.608 0.500 0.198
In 0.591 0.000 0.495

## Ta2AlIn (PBE-GGA)

Data for a relaxed structure of Ta2AlIn.

The calculation puts the formation energy from the elements at 0.020 eV per atom. For the volume, the calculation gives 73 Å³ per cell. The space-group type is No. 10.

Cell: 2.895 4.375 5.779 Å, 90.00 94.09 90.00°
Atoms (fractional coordinates):
Ta 0.039 0.000 0.265
Ta 0.961 0.000 0.735
Al 0.500 0.500 0.500
In 0.500 0.500 0.000

no.,Fermi-level density of states (states/eV/cell)
1,1.4
2,4.5
3,3.2
4,3.7
5,2.1
6,2.2
7,1.6
8,1.5